Record 1
An optimized crystal structure of Ce2MgCu. Source: Alexandria via LeMat-Bulk, functional PBE-GGA.

Energy relative to the elements in eV per formula unit: 0.864
Energy above the most stable polymorph in this dataset in eV/atom: 0.195
Calculated volume in Å³/f.u.: 91.7
DOS at the Fermi energy in states/eV/cell: 8.1
Raw total energy in eV/atom: -4.17

a b c (Å): 3.0443 3.0443 11.5593
angles (deg): 82.43 82.43 60.00
Atoms (fractional coordinates):
1 Mg 0.0000 0.0000 0.0000
2 Cu 0.5000 0.5000 0.5000
3 Ce 0.0956 0.0956 0.7133
4 Ce 0.9044 0.9044 0.2867


Record 2
An optimized crystal structure of Ce2MgCu. Source: Alexandria via LeMat-Bulk, functional PBE-GGA.

Energy relative to the elements in eV per formula unit: 0.214
Energy above the most stable polymorph in this dataset in eV/atom: 0.033
Calculated volume in Å³/f.u.: 88.1
DOS at the Fermi energy in states/eV/cell: 8.7
Raw total energy in eV/atom: -4.34

a b c (Å): 4.8345 4.2689 4.2689
angles (deg): 90.00 90.00 90.00
Atoms (fractional coordinates):
1 Ce 0.0000 0.5000 0.0000
2 Ce 0.0000 0.0000 0.5000
3 Cu 0.5000 0.5000 0.5000
4 Mg 0.5000 0.0000 0.0000


Record 3
An optimized crystal structure of CeMgCu10. Source: Alexandria via LeMat-Bulk, functional PBE-GGA.

Energy relative to the elements in eV per formula unit: -0.850
Calculated volume in Å³/f.u.: 176.8
DOS at the Fermi energy in states/eV/cell: 10.0
Raw total energy in eV/atom: -4.11

a b c (Å): 4.1066 4.9972 8.6163
angles (deg): 90.00 90.00 90.00
Atoms (fractional coordinates):
1 Cu 0.5000 0.5000 0.0000
2 Cu 0.5000 0.2500 0.2529
3 Cu 0.5000 0.7500 0.2529
4 Cu 0.5000 0.0000 0.5000
5 Cu 0.0000 0.0000 0.3441
6 Cu 0.5000 0.7500 0.7471
7 Cu 0.0000 0.5000 0.8185
8 Cu 0.0000 0.5000 0.1815
9 Cu 0.5000 0.2500 0.7471
10 Cu 0.0000 0.0000 0.6559
11 Ce 0.0000 0.0000 0.0000
12 Mg 0.0000 0.5000 0.5000


Record 4
An optimized crystal structure of Ce2MgCu. Source: Alexandria via LeMat-Bulk, functional PBE-GGA.

Energy relative to the elements in eV per formula unit: 0.083
Energy above the most stable polymorph in this dataset in eV/atom: 0.000
Calculated volume in Å³/f.u.: 98.4
DOS at the Fermi energy in states/eV/cell: 10.2
Raw total energy in eV/atom: -4.37

a b c (Å): 3.7664 3.7664 6.9364
angles (deg): 90.00 90.00 90.00
Atoms (fractional coordinates):
1 Cu 0.5000 0.5000 0.0000
2 Ce 0.0000 0.0000 0.2051
3 Ce 0.0000 0.0000 0.7949
4 Mg 0.5000 0.5000 0.5000